# Ba4LiRe2

A relaxed structure of Ba4LiRe2 (GGA-PBE, Alexandria via LeMat-Bulk).

Unit cell a=6.4427 b=6.4427 c=8.9359 alpha=68.87 beta=68.87 gamma=90.00
With the nearest neighbours (Å) after each atom.
Atoms (fractional coordinates):
Re 0.5718 0.5718 0.8565  1 Re 2.21
Ba 0.2213 0.2213 0.5574  1 Re 3.18, 1 Li 3.40
Ba 0.0000 0.5000 0.0000  2 Li 3.22, 4 Re 3.41
Re 0.4282 0.4282 0.1435  1 Re 2.21
Li 0.0000 0.0000 0.0000  6 Ba 3.22-3.40
Ba 0.7787 0.7787 0.4426  1 Re 3.18, 1 Li 3.40
Ba 0.5000 0.0000 0.0000  2 Li 3.22, 4 Re 3.41

## Properties
* ΔH_f (0 K): 6.60 eV per formula unit